(1)
# Dy3Y4In PBE optimized geometry
# M_tot (μB/atom): 0.0000
# E_tot (eV per atom): -5.412
# Formation enthalpy at 0 K (eV per formula unit): -0.90
data_Dy3Y4In
_space_group_name_H-M_alt 'P m n 21'
_space_group_IT_number 31
_space_group_name_Hall 'P 2ac -2'
_cell_length_a 11.2184
_cell_length_b 7.0539
_cell_length_c 6.1665
_cell_angle_alpha 90.00
_cell_angle_beta 90.00
_cell_angle_gamma 90.00
loop_
_atom_site_label
_atom_site_fract_x
_atom_site_fract_y
_atom_site_fract_z
_atom_site_occupancy
Dy1 0.0000 0.1277 0.0000 1
Dy2 0.2433 0.1139 0.3335 1
Y1 0.0000 0.3681 0.5277 1
Y2 0.0000 0.6312 0.0004 1
Y3 0.2385 0.6270 0.3585 1
In1 0.0000 0.8753 0.5127 1

***

(2)
# Cr3SbTe PBE optimized geometry
# M_tot (μB/atom): 2.6000
# Energy above the lowest structure with this stoichiometry (meV/atom): 0
# E_tot (eV per atom): -6.326
# Formation energy without anion corrections (eV per atom): 0.90
data_Cr3SbTe
_space_group_name_H-M_alt 'P m -3 m'
_space_group_IT_number 221
_space_group_name_Hall '-P 4 2 3'
_cell_length_a 5.1766
_cell_length_b 5.1766
_cell_length_c 5.1766
_cell_angle_alpha 90.00
_cell_angle_beta 90.00
_cell_angle_gamma 90.00
loop_
_atom_site_label
_atom_site_fract_x
_atom_site_fract_y
_atom_site_fract_z
_atom_site_occupancy
Cr1 0.0000 0.0000 0.5000 1
Sb1 0.0000 0.0000 0.0000 1
Te1 0.5000 0.5000 0.5000 1

***

(3)
# Y3ZnCd2 PBE optimized geometry
# M_tot (μB/atom): 0.0000
# Energy above the lowest structure with this stoichiometry (meV/atom): 10
# E_tot (eV per atom): -4.094
# Formation enthalpy at 0 K (eV per formula unit): -2.07
data_Y3ZnCd2
_space_group_name_H-M_alt 'P -3 m 1'
_space_group_IT_number 164
_space_group_name_Hall '-P 3 2"'
_cell_length_a 5.2264
_cell_length_b 5.2264
_cell_length_c 12.8404
_cell_angle_alpha 90.00
_cell_angle_beta 90.00
_cell_angle_gamma 120.00
loop_
_atom_site_label
_atom_site_fract_x
_atom_site_fract_y
_atom_site_fract_z
_atom_site_occupancy
Y1 0.0000 0.0000 0.2445 1
Y2 0.3333 0.6667 0.4104 1
Y3 0.3333 0.6667 0.9166 1
Zn1 0.3333 0.6667 0.1646 1
Cd1 0.0000 0.0000 0.0000 1
Cd2 0.0000 0.0000 0.5000 1
Cd3 0.3333 0.6667 0.6659 1

***

(4)
# RbV PBE optimized geometry
# M_tot (μB/atom): 0.3639
# Energy above the lowest structure with this stoichiometry (meV/atom): 671
# E_tot (eV per atom): -3.543
# Formation enthalpy at 0 K (eV per formula unit): 3.00
data_RbV
_space_group_name_H-M_alt 'P 42/m n m'
_space_group_IT_number 136
_space_group_name_Hall '-P 4n 2n'
_cell_length_a 7.4857
_cell_length_b 7.4857
_cell_length_c 7.2536
_cell_angle_alpha 90.00
_cell_angle_beta 90.00
_cell_angle_gamma 90.00
loop_
_atom_site_label
_atom_site_fract_x
_atom_site_fract_y
_atom_site_fract_z
_atom_site_occupancy
Rb1 0.1706 0.1706 0.0000 1
V1 0.0853 0.0853 0.5000 1

***

(5)
# CaScAu PBE optimized geometry
# M_tot (μB/atom): 0.0008
# Energy above the lowest structure with this stoichiometry (meV/atom): 0
# E_tot (eV per atom): -4.359
# Formation enthalpy at 0 K (eV per formula unit): -1.47
data_CaScAu
_space_group_name_H-M_alt 'I 4 m m'
_space_group_IT_number 107
_space_group_name_Hall 'I 4 -2'
_cell_length_a 3.5201
_cell_length_b 3.5201
_cell_length_c 12.4089
_cell_angle_alpha 90.00
_cell_angle_beta 90.00
_cell_angle_gamma 90.00
loop_
_atom_site_label
_atom_site_fract_x
_atom_site_fract_y
_atom_site_fract_z
_atom_site_occupancy
Ca1 0.0000 0.0000 0.0000 1
Sc1 0.0000 0.0000 0.7242 1
Au1 0.0000 0.0000 0.3319 1

***

(6)
# Ba6Ag3As PBE optimized geometry
# M_tot (μB/atom): 0.0000
# E_tot (eV per atom): -2.841
# Formation enthalpy at 0 K (eV per formula unit): -3.67
data_Ba6Ag3As
_space_group_name_H-M_alt 'P 1 21/c 1'
_space_group_IT_number 14
_space_group_name_Hall '-P 2ybc'
_cell_length_a 8.1549
_cell_length_b 9.0937
_cell_length_c 14.6098
_cell_angle_alpha 90.00
_cell_angle_beta 123.20
_cell_angle_gamma 90.00
loop_
_atom_site_label
_atom_site_fract_x
_atom_site_fract_y
_atom_site_fract_z
_atom_site_occupancy
Ba1 0.0930 0.0464 0.2437 1
Ba2 0.2332 0.6877 0.0708 1
Ba3 0.3948 0.1755 0.0703 1
Ag1 0.3092 0.1106 0.7563 1
Ag2 0.5000 0.0000 0.5000 1
As1 0.0000 0.0000 0.0000 1